(1)
# Sr8ZnGa2 (GGA-PBE, relaxed)
data_Sr8ZnGa2
_space_group_name_H-M_alt 'P 1'
_space_group_IT_number 1
_space_group_name_Hall 'P 1'
_cell_length_a 10.553
_cell_length_b 10.553
_cell_length_c 7.920
_cell_angle_alpha 107.12
_cell_angle_beta 107.12
_cell_angle_gamma 30.93
loop_
_atom_site_label
_atom_site_type_symbol
_atom_site_fract_x
_atom_site_fract_y
_atom_site_fract_z
Sr1 Sr 0.035 0.035 0.293
Sr2 Sr 0.205 0.205 0.818
Sr3 Sr 0.330 0.330 0.535
Sr4 Sr 0.403 0.403 0.050
Sr5 Sr 0.597 0.597 0.950
Sr6 Sr 0.670 0.670 0.465
Sr7 Sr 0.795 0.795 0.182
Sr8 Sr 0.965 0.965 0.707
Zn1 Zn 0.500 0.500 0.500
Ga1 Ga 0.185 0.185 0.208
Ga2 Ga 0.815 0.815 0.792
# M_tot = 0.000 μB per atom
# density of states at the Fermi level = 0.754 states/eV per atom
# E = -2.059 eV/atom
# energy of formation from the pure elements = -0.17 eV per atom

(2)
# Sr6Zn2Ga (GGA-PBE, relaxed)
data_Sr6Zn2Ga
_space_group_name_H-M_alt 'P 1'
_space_group_IT_number 1
_space_group_name_Hall 'P 1'
_cell_length_a 9.604
_cell_length_b 9.604
_cell_length_c 9.604
_cell_angle_alpha 112.37
_cell_angle_beta 108.48
_cell_angle_gamma 107.61
loop_
_atom_site_label
_atom_site_type_symbol
_atom_site_fract_x
_atom_site_fract_y
_atom_site_fract_z
Sr1 Sr 0.062 0.246 0.816
Sr2 Sr 0.167 0.470 0.303
Sr3 Sr 0.167 0.863 0.697
Sr4 Sr 0.327 0.235 0.562
Sr5 Sr 0.327 0.765 0.092
Sr6 Sr 0.431 0.246 0.184
Sr7 Sr 0.569 0.754 0.816
Sr8 Sr 0.673 0.235 0.908
Sr9 Sr 0.673 0.765 0.438
Sr10 Sr 0.833 0.137 0.303
Sr11 Sr 0.833 0.530 0.697
Sr12 Sr 0.938 0.754 0.184
Zn1 Zn 0.164 0.500 0.664
Zn2 Zn 0.387 0.887 0.500
Zn3 Zn 0.613 0.113 0.500
Zn4 Zn 0.836 0.500 0.336
Ga1 Ga 0.000 0.000 0.000
Ga2 Ga 0.500 0.500 0.000
# M_tot = 0.000 μB per atom
# density of states at the Fermi level = 1.141 states/eV per atom
# E = -1.895 eV/atom
# energy of formation from the pure elements = -0.15 eV per atom

(3)
# Sr2ZnGa5 (GGA-PBE, relaxed)
data_Sr2ZnGa5
_space_group_name_H-M_alt 'P 1'
_space_group_IT_number 1
_space_group_name_Hall 'P 1'
_cell_length_a 8.923
_cell_length_b 8.923
_cell_length_c 9.279
_cell_angle_alpha 90.00
_cell_angle_beta 90.00
_cell_angle_gamma 150.44
loop_
_atom_site_label
_atom_site_type_symbol
_atom_site_fract_x
_atom_site_fract_y
_atom_site_fract_z
Sr1 Sr 0.000 0.000 0.000
Sr2 Sr 0.000 0.000 0.500
Sr3 Sr 0.203 0.797 0.750
Sr4 Sr 0.797 0.203 0.250
Zn1 Zn 0.439 0.561 0.250
Zn2 Zn 0.561 0.439 0.750
Ga1 Ga 0.189 0.811 0.106
Ga2 Ga 0.189 0.811 0.394
Ga3 Ga 0.353 0.647 0.019
Ga4 Ga 0.353 0.647 0.481
Ga5 Ga 0.413 0.587 0.750
Ga6 Ga 0.587 0.413 0.250
Ga7 Ga 0.647 0.353 0.519
Ga8 Ga 0.647 0.353 0.981
Ga9 Ga 0.811 0.189 0.606
Ga10 Ga 0.811 0.189 0.894
# M_tot = 0.000 μB per atom
# density of states at the Fermi level = 0.343 states/eV per atom
# E = -2.861 eV/atom
# energy of formation from the pure elements = -0.39 eV per atom